VASP calculation (PBEsol) on a geometry-optimized Y2Bi2O7 structure. Values from VASP.

Calculated values
Final energy (eV per formula unit): -82.96
Symmetry: P2_1
Formation energy from raw total energies (kJ/mol of atoms): -210.48
Total magnetic moment (μB per cell): 0.0

Cell and atoms, written as Quantum ESPRESSO input:
```
&SYSTEM
  ibrav = 0, nat = 44, ntyp = 3
/
ATOMIC_SPECIES
Y 88.91 Y.upf
Bi 208.98 Bi.upf
O 16.00 O.upf
CELL_PARAMETERS angstrom
8.376 0.000 0.000
0.000 5.539 0.000
-1.991 0.000 13.648
ATOMIC_POSITIONS crystal
Y 0.122 0.000 0.042
Y 0.270 0.443 0.871
Y 0.313 0.875 0.650
Y 0.322 0.450 0.451
Y 0.678 0.950 0.549
Y 0.687 0.375 0.350
Y 0.730 0.943 0.129
Y 0.878 0.500 0.958
Bi 0.006 0.930 0.790
Bi 0.008 0.427 0.599
Bi 0.354 0.950 0.292
Bi 0.432 0.455 0.153
Bi 0.568 0.955 0.847
Bi 0.646 0.450 0.708
Bi 0.992 0.927 0.401
Bi 0.994 0.430 0.210
O 0.050 0.228 0.906
O 0.102 0.716 0.925
O 0.124 0.708 0.522
O 0.142 0.697 0.330
O 0.146 0.595 0.722
O 0.162 0.180 0.372
O 0.214 0.226 0.580
O 0.215 0.252 0.175
O 0.312 0.786 0.138
O 0.324 0.081 0.809
O 0.382 0.310 0.015
O 0.441 0.549 0.313
O 0.449 0.643 0.784
O 0.470 0.694 0.556
O 0.530 0.194 0.444
O 0.551 0.143 0.216
O 0.559 0.049 0.687
O 0.618 0.810 0.985
O 0.676 0.581 0.191
O 0.688 0.286 0.862
O 0.785 0.752 0.825
O 0.786 0.726 0.420
O 0.838 0.680 0.628
O 0.854 0.095 0.278
O 0.858 0.197 0.670
O 0.876 0.208 0.478
O 0.898 0.216 0.075
O 0.950 0.728 0.094
```

---

VASP calculation (PBEsol) on a geometry-optimized YBi15O24 structure. Values from VASP.

Calculated values
Final energy (eV per formula unit): -250.78
Symmetry: Pm
Formation energy from raw total energies (kJ/mol of atoms): -129.51
Total magnetic moment (μB per cell): 0.0

Cell and atoms, written as Quantum ESPRESSO input:
```
&SYSTEM
  ibrav = 0, nat = 40, ntyp = 3
/
ATOMIC_SPECIES
Y 88.91 Y.upf
Bi 208.98 Bi.upf
O 16.00 O.upf
CELL_PARAMETERS angstrom
7.769 0.000 0.000
0.000 7.607 0.000
-0.190 0.000 11.054
ATOMIC_POSITIONS crystal
Y 0.000 0.000 0.000
Bi 0.204 0.245 0.749
Bi 0.204 0.755 0.749
Bi 0.209 0.246 0.246
Bi 0.209 0.754 0.246
Bi 0.436 0.000 0.498
Bi 0.454 0.500 0.479
Bi 0.463 0.500 0.967
Bi 0.467 0.000 0.996
Bi 0.695 0.252 0.225
Bi 0.695 0.748 0.225
Bi 0.725 0.251 0.729
Bi 0.725 0.749 0.729
Bi 0.938 0.500 0.472
Bi 0.944 0.500 0.981
Bi 0.952 0.000 0.501
O 0.189 0.000 0.405
O 0.198 0.000 0.655
O 0.212 0.000 0.155
O 0.232 0.000 0.899
O 0.395 0.300 0.106
O 0.395 0.700 0.106
O 0.399 0.289 0.607
O 0.399 0.711 0.607
O 0.478 0.201 0.352
O 0.478 0.799 0.352
O 0.529 0.212 0.870
O 0.529 0.788 0.870
O 0.694 0.500 0.315
O 0.700 0.500 0.068
O 0.700 0.500 0.568
O 0.728 0.500 0.817
O 0.882 0.210 0.373
O 0.882 0.790 0.373
O 0.926 0.201 0.862
O 0.926 0.799 0.862
O 0.980 0.268 0.111
O 0.980 0.732 0.111
O 0.995 0.299 0.617
O 0.995 0.701 0.617
```

---

VASP calculation (PBEsol) on a geometry-optimized YBi12O20 structure. Values from VASP.

Calculated values
Final energy (eV per formula unit): -207.83
Symmetry: I23
Formation energy from raw total energies (kJ/mol of atoms): -130.38
Total magnetic moment (μB per cell): 0.0

Cell and atoms, written as Quantum ESPRESSO input:
```
&SYSTEM
  ibrav = 0, nat = 33, ntyp = 3
/
ATOMIC_SPECIES
Y 88.91 Y.upf
Bi 208.98 Bi.upf
O 16.00 O.upf
CELL_PARAMETERS angstrom
-5.056 5.056 5.056
5.056 -5.056 5.056
5.056 5.056 -5.056
ATOMIC_POSITIONS crystal
Y 0.000 0.000 0.000
Bi 0.148 0.830 0.321
Bi 0.170 0.318 0.491
Bi 0.173 0.682 0.852
Bi 0.318 0.491 0.170
Bi 0.321 0.148 0.830
Bi 0.491 0.170 0.318
Bi 0.509 0.827 0.679
Bi 0.679 0.509 0.827
Bi 0.682 0.852 0.173
Bi 0.827 0.679 0.509
Bi 0.830 0.321 0.148
Bi 0.852 0.173 0.682
O 0.000 0.000 0.328
O 0.000 0.000 0.750
O 0.000 0.328 0.000
O 0.000 0.750 0.000
O 0.119 0.354 0.740
O 0.235 0.881 0.621
O 0.250 0.250 0.250
O 0.260 0.614 0.379
O 0.328 0.000 0.000
O 0.354 0.740 0.119
O 0.379 0.260 0.614
O 0.386 0.646 0.765
O 0.614 0.379 0.260
O 0.621 0.235 0.881
O 0.646 0.765 0.386
O 0.672 0.672 0.672
O 0.740 0.119 0.354
O 0.750 0.000 0.000
O 0.765 0.386 0.646
O 0.881 0.621 0.235
```